Record 1
Compound: SiMo2Pb
Source: Alexandria via LeMat-Bulk
Functional: GGA-PBE
Structure: relaxed

Structure (CIF):
```
data_SiMo2Pb
_cell_length_a 3.428
_cell_length_b 4.722
_cell_length_c 9.437
_cell_angle_alpha 90.00
_cell_angle_beta 90.00
_cell_angle_gamma 90.00
_symmetry_space_group_name_H-M 'C m m 2'
_symmetry_Int_Tables_number 35
loop_
_symmetry_equiv_pos_as_xyz
'x,y,z'
'-x,-y,z'
'-x,y,z'
'x,-y,z'
'x+1/2,y+1/2,z'
'-x+1/2,-y+1/2,z'
'-x+1/2,y+1/2,z'
'x+1/2,-y+1/2,z'
loop_
_atom_site_label
_atom_site_type_symbol
_atom_site_fract_x
_atom_site_fract_y
_atom_site_fract_z
_atom_site_occupancy
Si1 Si 0.000 0.000 0.000 1
Mo1 Mo 0.000 0.000 0.416 1
Mo2 Mo 0.000 0.500 0.198 1
Pb1 Pb 0.000 0.500 0.682 1
```

Calculated values
Energy above the most stable polymorph in this dataset: 1.15 eV per formula unit


Record 2
Compound: CaLa2Cu
Source: Alexandria via LeMat-Bulk
Functional: GGA-PBE
Structure: relaxed

Structure (CIF):
```
data_CaLa2Cu
_cell_length_a 7.693
_cell_length_b 7.693
_cell_length_c 7.693
_cell_angle_alpha 90.00
_cell_angle_beta 90.00
_cell_angle_gamma 90.00
_symmetry_space_group_name_H-M 'F -4 3 m'
_symmetry_Int_Tables_number 216
_symmetry_space_group_name_Hall 'F -4 2 3'
loop_
_atom_site_label
_atom_site_type_symbol
_atom_site_fract_x
_atom_site_fract_y
_atom_site_fract_z
_atom_site_occupancy
Ca1 Ca 0.000 0.000 0.000 1
La1 La 0.000 0.000 0.500 1
La2 La 0.250 0.250 0.750 1
Cu1 Cu 0.250 0.250 0.250 1
```

Calculated values
Energy above the most stable polymorph in this dataset: 1.17 eV per formula unit


Record 3
Compound: CdFeP2Cl
Source: Alexandria via LeMat-Bulk
Functional: GGA-PBE
Structure: relaxed

Structure (CIF):
```
data_CdFeP2Cl
_cell_length_a 4.265
_cell_length_b 4.265
_cell_length_c 5.376
_cell_angle_alpha 90.00
_cell_angle_beta 90.00
_cell_angle_gamma 90.00
_symmetry_space_group_name_H-M 'P 4/m m m'
_symmetry_Int_Tables_number 123
_symmetry_space_group_name_Hall '-P 4 2'
loop_
_atom_site_label
_atom_site_type_symbol
_atom_site_fract_x
_atom_site_fract_y
_atom_site_fract_z
_atom_site_occupancy
Cd1 Cd 0.000 0.000 0.000 1
Fe1 Fe 0.500 0.500 0.500 1
P1 P 0.000 0.500 0.500 1
Cl1 Cl 0.500 0.500 0.000 1
```

Calculated values
Energy above the most stable polymorph in this dataset: 0.00 eV per formula unit


Record 4
Compound: HoErMgAu
Source: Alexandria via LeMat-Bulk
Functional: GGA-PBE
Structure: relaxed

Structure (CIF):
```
data_HoErMgAu
_cell_length_a 3.680
_cell_length_b 3.680
_cell_length_c 7.231
_cell_angle_alpha 90.00
_cell_angle_beta 90.00
_cell_angle_gamma 90.00
_symmetry_space_group_name_H-M 'P 4 m m'
_symmetry_Int_Tables_number 99
loop_
_symmetry_equiv_pos_as_xyz
'x,y,z'
'-y,x,z'
'-x,-y,z'
'y,-x,z'
'-x,y,z'
'y,x,z'
'x,-y,z'
'-y,-x,z'
loop_
_atom_site_label
_atom_site_type_symbol
_atom_site_fract_x
_atom_site_fract_y
_atom_site_fract_z
_atom_site_occupancy
Ho1 Ho 0.000 0.000 0.000 1
Er1 Er 0.000 0.000 0.531 1
Mg1 Mg 0.500 0.500 0.267 1
Au1 Au 0.500 0.500 0.762 1
```

Calculated values
Energy above the most stable polymorph in this dataset: 0.00 eV per formula unit


Record 5
Compound: Ag5Br3
Source: Alexandria via LeMat-Bulk
Functional: GGA-PBE
Structure: relaxed

Structure (CIF):
```
data_Ag5Br3
_cell_length_a 4.054
_cell_length_b 6.494
_cell_length_c 7.766
_cell_angle_alpha 90.00
_cell_angle_beta 94.71
_cell_angle_gamma 90.00
_symmetry_space_group_name_H-M 'P 1 m 1'
_symmetry_Int_Tables_number 6
loop_
_symmetry_equiv_pos_as_xyz
'x,y,z'
'x,-y,z'
loop_
_atom_site_label
_atom_site_type_symbol
_atom_site_fract_x
_atom_site_fract_y
_atom_site_fract_z
_atom_site_occupancy
Ag1 Ag 0.000 0.000 0.000 1
Ag2 Ag 0.474 0.217 0.815 1
Ag3 Ag 0.526 0.217 0.185 1
Br1 Br 0.029 0.500 0.259 1
Br2 Br 0.498 0.000 0.500 1
Br3 Br 0.971 0.500 0.740 1
```

Calculated values
Energy above the most stable polymorph in this dataset: 0.00 eV per formula unit


Record 6
Compound: Pr2Nd8Tm
Source: Alexandria via LeMat-Bulk
Functional: GGA-PBE
Structure: relaxed

Structure (CIF):
```
data_Pr2Nd8Tm
_cell_length_a 19.343
_cell_length_b 7.142
_cell_length_c 5.811
_cell_angle_alpha 90.00
_cell_angle_beta 93.99
_cell_angle_gamma 90.00
_symmetry_space_group_name_H-M 'C 1 2/m 1'
_symmetry_Int_Tables_number 12
loop_
_symmetry_equiv_pos_as_xyz
'x,y,z'
'-x,-y,-z'
'-x,y,-z'
'x,-y,z'
'x+1/2,y+1/2,z'
'-x+1/2,-y+1/2,-z'
'-x+1/2,y+1/2,-z'
'x+1/2,-y+1/2,z'
loop_
_atom_site_label
_atom_site_type_symbol
_atom_site_fract_x
_atom_site_fract_y
_atom_site_fract_z
_atom_site_occupancy
Pr1 Pr 0.217 0.000 0.260 1
Nd1 Nd 0.045 0.000 0.234 1
Nd2 Nd 0.126 0.238 0.731 1
Nd3 Nd 0.185 0.500 0.227 1
Tm1 Tm 0.000 0.500 0.000 1
```

Calculated values
Energy above the most stable polymorph in this dataset: 0.48 eV per formula unit